DFT (GGA-PBE) results for crystalline Er2UPbO8 at its relaxed geometry.

## Properties
* SG: Cmmm (65)
* energy relative to the elements, uncorrected: -2.758 eV/atom
* total moment: 0.000 μB/atom

Cell lengths 5.0407, 5.0403, 6.9825 Å; angles 90.00, 90.00, 92.45 degrees
Last column: nearest neighbours and their distance in Å.
Fractional coordinates of all 12 atoms:
O  0.1888  0.8103  0.7672  1 U 2.13, 1 Er 2.27, 1 Pb 2.32
O  0.8112  0.1897  0.7672  1 U 2.13, 1 Er 2.27, 1 Pb 2.32
O  0.2960  0.2950  0.0000  1 U 2.06, 2 Er 2.26
O  0.1888  0.8103  0.2328  1 U 2.13, 1 Er 2.27, 1 Pb 2.32
O  0.7040  0.7050  0.0000  1 U 2.06, 2 Er 2.26
O  0.2993  0.2986  0.5000  1 Pb 2.08, 2 Er 2.23
O  0.8112  0.1897  0.2328  1 U 2.13, 1 Er 2.27, 1 Pb 2.32
O  0.7007  0.7014  0.5000  1 Pb 2.08, 2 Er 2.23
Er  0.5000  0.5000  0.7484  6 O 2.23-2.27
Er  0.5000  0.5000  0.2516  6 O 2.23-2.27
Pb  0.0000  0.0000  0.5000  6 O 2.08-2.32
U  0.0000  0.0000  0.0000  6 O 2.06-2.13


DFT (GGA-PBE) results for crystalline Ti2Al3Zn2 at its relaxed geometry.

## Properties
* SG: I2_13 (199)
* formation energy: 0.12 eV per atom
* total moment: 0.000 μB/atom

Cell lengths 6.8990, 6.8990, 6.8990 Å; angles 109.47, 109.47, 109.47 degrees
Last column: nearest neighbours and their distance in Å.
Fractional coordinates of all 14 atoms:
Al  0.4236  0.1736  0.7500  4 Ti 2.63-2.68, 2 Zn 2.88
Al  0.0764  0.3264  0.2500  4 Ti 2.63-2.68, 2 Zn 2.88
Al  0.8264  0.2500  0.5764  4 Ti 2.63-2.68, 2 Zn 2.88
Al  0.6736  0.7500  0.9236  4 Ti 2.63-2.68, 2 Zn 2.88
Al  0.2500  0.9236  0.1736  4 Ti 2.63-2.68, 2 Zn 2.88
Al  0.7500  0.5764  0.3264  4 Ti 2.63-2.68, 2 Zn 2.88
Zn  0.2173  0.7173  0.7173  1 Ti 2.80, 3 Zn 2.84, 6 Al 2.88-3.00
Zn  0.5000  0.7827  0.5000  1 Ti 2.80, 3 Zn 2.84, 6 Al 2.88-3.00
Zn  0.2827  0.5000  0.0000  1 Ti 2.80, 3 Zn 2.84, 6 Al 2.88-3.00
Zn  0.0000  0.0000  0.7827  1 Ti 2.80, 3 Zn 2.84, 6 Al 2.88-3.00
Ti  0.6237  0.1237  0.1237  6 Al 2.63-2.68, 1 Zn 2.80
Ti  0.5000  0.3763  0.5000  6 Al 2.63-2.68, 1 Zn 2.80
Ti  0.0000  0.0000  0.3763  6 Al 2.63-2.68, 1 Zn 2.80
Ti  0.8763  0.5000  0.0000  6 Al 2.63-2.68, 1 Zn 2.80


DFT (GGA-PBE) results for crystalline Ho12Sc5Sn3 at its relaxed geometry.

## Properties
* SG: Ia-3d (230)
* formation energy: 0.70 eV per atom
* total moment: 0.127 μB/atom

Cell lengths 15.4528, 15.4528, 15.4528 Å; angles 109.47, 109.47, 109.47 degrees
Last column: nearest neighbours and their distance in Å.
Fractional coordinates of all 80 atoms:
Ho  0.1421  0.4146  0.0736  2 Sc 3.02-3.06, 2 Sn 3.12-3.27, 1 Ho 3.22
Ho  0.2724  0.4146  0.8410  2 Sc 3.02-3.06, 2 Sn 3.12-3.27, 1 Ho 3.22
Ho  0.3410  0.7724  0.4146  2 Sc 3.02-3.06, 2 Sn 3.12-3.27, 1 Ho 3.22
Ho  0.5736  0.9315  0.6590  2 Sc 3.02-3.06, 2 Sn 3.12-3.27, 1 Ho 3.22
Ho  0.4146  0.1421  0.5736  2 Sc 3.02-3.06, 2 Sn 3.12-3.27, 1 Ho 3.22
Ho  0.7276  0.5854  0.1590  2 Sc 3.02-3.06, 2 Sn 3.12-3.27, 1 Ho 3.22
Ho  0.9264  0.0854  0.8579  2 Sc 3.02-3.06, 2 Sn 3.12-3.27, 1 Ho 3.22
Ho  0.0854  0.9264  0.3579  2 Sc 3.02-3.06, 2 Sn 3.12-3.27, 1 Ho 3.22
Ho  0.8410  0.9146  0.2724  2 Sc 3.02-3.06, 2 Sn 3.12-3.27, 1 Ho 3.22
Ho  0.4315  0.7724  0.8579  2 Sc 3.02-3.06, 2 Sn 3.12-3.27, 1 Ho 3.22
Ho  0.7276  0.1421  0.0685  2 Sc 3.02-3.06, 2 Sn 3.12-3.27, 1 Ho 3.22
Ho  0.8579  0.5854  0.9264  2 Sc 3.02-3.06, 2 Sn 3.12-3.27, 1 Ho 3.22
Ho  0.8410  0.9264  0.0685  2 Sc 3.02-3.06, 2 Sn 3.12-3.27, 1 Ho 3.22
Ho  0.6421  0.5736  0.9146  2 Sc 3.02-3.06, 2 Sn 3.12-3.27, 1 Ho 3.22
Ho  0.6590  0.2276  0.5854  2 Sc 3.02-3.06, 2 Sn 3.12-3.27, 1 Ho 3.22
Ho  0.9146  0.0736  0.6421  2 Sc 3.02-3.06, 2 Sn 3.12-3.27, 1 Ho 3.22
Ho  0.9315  0.3579  0.2724  2 Sc 3.02-3.06, 2 Sn 3.12-3.27, 1 Ho 3.22
Ho  0.2276  0.6590  0.0854  2 Sc 3.02-3.06, 2 Sn 3.12-3.27, 1 Ho 3.22
Ho  0.5685  0.3410  0.9264  2 Sc 3.02-3.06, 2 Sn 3.12-3.27, 1 Ho 3.22
Ho  0.2724  0.8579  0.9315  2 Sc 3.02-3.06, 2 Sn 3.12-3.27, 1 Ho 3.22
Ho  0.4315  0.6590  0.0736  2 Sc 3.02-3.06, 2 Sn 3.12-3.27, 1 Ho 3.22
Ho  0.3579  0.9315  0.7724  2 Sc 3.02-3.06, 2 Sn 3.12-3.27, 1 Ho 3.22
Ho  0.9264  0.8410  0.5685  2 Sc 3.02-3.06, 2 Sn 3.12-3.27, 1 Ho 3.22
Ho  0.1421  0.7276  0.5685  2 Sc 3.02-3.06, 2 Sn 3.12-3.27, 1 Ho 3.22
Ho  0.6421  0.0685  0.2276  2 Sc 3.02-3.06, 2 Sn 3.12-3.27, 1 Ho 3.22
Ho  0.0854  0.1590  0.2276  2 Sc 3.02-3.06, 2 Sn 3.12-3.27, 1 Ho 3.22
Ho  0.9315  0.5736  0.1590  2 Sc 3.02-3.06, 2 Sn 3.12-3.27, 1 Ho 3.22
Ho  0.7724  0.3410  0.9146  2 Sc 3.02-3.06, 2 Sn 3.12-3.27, 1 Ho 3.22
Ho  0.0685  0.6421  0.7276  2 Sc 3.02-3.06, 2 Sn 3.12-3.27, 1 Ho 3.22
Ho  0.0736  0.1590  0.4315  2 Sc 3.02-3.06, 2 Sn 3.12-3.27, 1 Ho 3.22
Ho  0.0685  0.4264  0.8410  2 Sc 3.02-3.06, 2 Sn 3.12-3.27, 1 Ho 3.22
Ho  0.3579  0.4264  0.0854  2 Sc 3.02-3.06, 2 Sn 3.12-3.27, 1 Ho 3.22
Ho  0.5854  0.8579  0.4264  2 Sc 3.02-3.06, 2 Sn 3.12-3.27, 1 Ho 3.22
Ho  0.5685  0.2276  0.1421  2 Sc 3.02-3.06, 2 Sn 3.12-3.27, 1 Ho 3.22
Ho  0.2276  0.5685  0.6421  2 Sc 3.02-3.06, 2 Sn 3.12-3.27, 1 Ho 3.22
Ho  0.7724  0.4315  0.3579  2 Sc 3.02-3.06, 2 Sn 3.12-3.27, 1 Ho 3.22
Ho  0.0736  0.9146  0.1421  2 Sc 3.02-3.06, 2 Sn 3.12-3.27, 1 Ho 3.22
Ho  0.4146  0.2724  0.3410  2 Sc 3.02-3.06, 2 Sn 3.12-3.27, 1 Ho 3.22
Ho  0.6590  0.4315  0.5736  2 Sc 3.02-3.06, 2 Sn 3.12-3.27, 1 Ho 3.22
Ho  0.3410  0.5685  0.4264  2 Sc 3.02-3.06, 2 Sn 3.12-3.27, 1 Ho 3.22
Ho  0.4264  0.3579  0.5854  2 Sc 3.02-3.06, 2 Sn 3.12-3.27, 1 Ho 3.22
Ho  0.5854  0.7276  0.6590  2 Sc 3.02-3.06, 2 Sn 3.12-3.27, 1 Ho 3.22
Ho  0.8579  0.2724  0.4315  2 Sc 3.02-3.06, 2 Sn 3.12-3.27, 1 Ho 3.22
Ho  0.1590  0.0854  0.7276  2 Sc 3.02-3.06, 2 Sn 3.12-3.27, 1 Ho 3.22
Ho  0.9146  0.8410  0.7724  2 Sc 3.02-3.06, 2 Sn 3.12-3.27, 1 Ho 3.22
Ho  0.5736  0.6421  0.4146  2 Sc 3.02-3.06, 2 Sn 3.12-3.27, 1 Ho 3.22
Ho  0.4264  0.0685  0.3410  2 Sc 3.02-3.06, 2 Sn 3.12-3.27, 1 Ho 3.22
Ho  0.1590  0.0736  0.9315  2 Sc 3.02-3.06, 2 Sn 3.12-3.27, 1 Ho 3.22
Sc  0.1250  0.3750  0.2500  4 Ho 3.06
Sc  0.7500  0.1250  0.8750  4 Ho 3.06
Sc  0.3750  0.2500  0.1250  4 Ho 3.06
Sc  0.5000  0.5000  0.5000  6 Ho 3.02
Sc  0.0000  0.0000  0.5000  6 Ho 3.02
Sc  0.5000  0.0000  0.0000  6 Ho 3.02
Sc  0.8750  0.6250  0.7500  4 Ho 3.06
Sc  0.5000  0.0000  0.5000  6 Ho 3.02
Sc  0.5000  0.5000  0.0000  6 Ho 3.02
Sc  0.3750  0.1250  0.7500  4 Ho 3.06
Sc  0.2500  0.8750  0.1250  4 Ho 3.06
Sc  0.6250  0.8750  0.2500  4 Ho 3.06
Sc  0.6250  0.7500  0.8750  4 Ho 3.06
Sc  0.7500  0.6250  0.3750  4 Ho 3.06
Sc  0.0000  0.0000  0.0000  6 Ho 3.02
Sc  0.1250  0.7500  0.3750  4 Ho 3.06
Sc  0.0000  0.5000  0.0000  6 Ho 3.02
Sc  0.0000  0.5000  0.5000  6 Ho 3.02
Sc  0.2500  0.3750  0.6250  4 Ho 3.06
Sc  0.8750  0.2500  0.6250  4 Ho 3.06
Sn  0.1250  0.8750  0.7500  8 Ho 3.12-3.27
Sn  0.6250  0.3750  0.7500  8 Ho 3.12-3.27
Sn  0.1250  0.2500  0.8750  8 Ho 3.12-3.27
Sn  0.2500  0.6250  0.8750  8 Ho 3.12-3.27
Sn  0.7500  0.8750  0.6250  8 Ho 3.12-3.27
Sn  0.2500  0.1250  0.3750  8 Ho 3.12-3.27
Sn  0.3750  0.7500  0.6250  8 Ho 3.12-3.27
Sn  0.3750  0.6250  0.2500  8 Ho 3.12-3.27
Sn  0.8750  0.7500  0.1250  8 Ho 3.12-3.27
Sn  0.6250  0.2500  0.3750  8 Ho 3.12-3.27
Sn  0.7500  0.3750  0.1250  8 Ho 3.12-3.27
Sn  0.8750  0.1250  0.2500  8 Ho 3.12-3.27


DFT (GGA-PBE) results for crystalline LuPu2Si at its relaxed geometry.

## Properties
* SG: R-3m (166)
* energy relative to the elements, uncorrected: 0.080 eV/atom
* total moment: 2.889 μB/atom
* energy relative to the lowest polymorph listed for this composition: 30.4 kJ/mol of atoms

Cell lengths 3.4165, 3.4165, 10.3005 Å; angles 80.45, 80.45, 60.00 degrees
Last column: nearest neighbours and their distance in Å.
Fractional coordinates of all 4 atoms:
Pu  0.2639  0.2639  0.2083  3 Si 2.89
Pu  0.7361  0.7361  0.7917  3 Si 2.89
Lu  0.5000  0.5000  0.5000  6 Lu 3.42, 6 Pu 3.55
Si  0.0000  0.0000  0.0000  6 Pu 2.89